(1)
Here is RuPb3Br after structural relaxation from Alexandria. Energies are from GGA-PBE.

Structure (CIF):
```
data_RuPb3Br
_chemical_formula_sum 'Ru1 Pb3 Br1'
_space_group_name_H-M_alt 'P m -3 m'
_space_group_IT_number 221
_space_group_name_Hall '-P 4 2 3'
_cell_length_a 5.621
_cell_length_b 5.621
_cell_length_c 5.621
_cell_angle_alpha 90.00
_cell_angle_beta 90.00
_cell_angle_gamma 90.00
loop_
_atom_site_label
_atom_site_fract_x
_atom_site_fract_y
_atom_site_fract_z
Ru1 0.000 0.000 0.000
Pb1 0.000 0.500 0.500
Br1 0.500 0.500 0.500
```

Summary:
E above lowest polymorph = 611 kJ/mol of formula units
energy relative to the elements, uncorrected = 1.2327 eV per atom
total magnetic moment = 2.60 Bohr magnetons per cell
raw total energy = -3.18 eV per atom
crystal system = cubic

---

(2)
Here is TiBi2O6 after structural relaxation from Alexandria. Energies are from GGA-PBE.

Structure (CIF):
```
data_TiBi2O6
_chemical_formula_sum 'Ti1 Bi2 O6'
_space_group_name_H-M_alt 'P 4 m m'
_space_group_IT_number 99
_cell_length_a 5.363
_cell_length_b 5.363
_cell_length_c 4.901
_cell_angle_alpha 90.00
_cell_angle_beta 90.00
_cell_angle_gamma 90.00
loop_
_space_group_symop_operation_xyz
'x,y,z'
'-y,x,z'
'-x,-y,z'
'y,-x,z'
'-x,y,z'
'y,x,z'
'x,-y,z'
'-y,-x,z'
loop_
_atom_site_label
_atom_site_fract_x
_atom_site_fract_y
_atom_site_fract_z
Ti1 0.000 0.000 0.000
Bi1 0.000 0.500 0.388
O1 0.000 0.000 0.634
O2 0.239 0.239 0.142
O3 0.500 0.500 0.563
```

Summary:
energy relative to the elements, uncorrected = -1.3723 eV per atom
total magnetic moment = 1.89 Bohr magnetons per cell
raw total energy = -6.42 eV per atom
crystal system = tetragonal

---

(3)
Here is In6Bi after structural relaxation from Alexandria. Energies are from GGA-PBE.

Structure (CIF):
```
data_In6Bi
_chemical_formula_sum 'In18 Bi3'
_space_group_name_H-M_alt 'R -3'
_space_group_IT_number 148
_space_group_name_Hall '-R 3'
_cell_length_a 14.3759
_cell_length_b 14.3759
_cell_length_c 3.3280
_cell_angle_alpha 90.00
_cell_angle_beta 90.00
_cell_angle_gamma 120.00
loop_
_atom_site_label
_atom_site_fract_x
_atom_site_fract_y
_atom_site_fract_z
In1 0.0462 0.8069 0.1975
Bi1 0.0000 0.0000 0.5000
```

Summary:
E above lowest polymorph = 0 kJ/mol of formula units
calculated formation energy = 38 meV/atom
total magnetic moment = 0.00 Bohr magnetons per cell
raw total energy = -2.86 eV per atom
crystal system = trigonal

---

(4)
Here is Pm6TmSn6 after structural relaxation from Alexandria. Energies are from GGA-PBE.

Structure (CIF):
```
data_Pm6TmSn6
_chemical_formula_sum 'Pm6 Tm1 Sn6'
_space_group_name_H-M_alt 'P 6/m m m'
_space_group_IT_number 191
_space_group_name_Hall '-P 6 2'
_cell_length_a 7.3891
_cell_length_b 7.3891
_cell_length_c 9.1437
_cell_angle_alpha 90.00
_cell_angle_beta 90.00
_cell_angle_gamma 120.00
loop_
_atom_site_label
_atom_site_fract_x
_atom_site_fract_y
_atom_site_fract_z
Pm1 0.0000 0.5000 0.2477
Tm1 0.0000 0.0000 0.5000
Sn1 0.0000 0.0000 0.1647
Sn2 0.3333 0.6667 0.0000
Sn3 0.3333 0.6667 0.5000
```

Summary:
calculated formation energy = -395 meV/atom
total magnetic moment = 0.00 Bohr magnetons per cell
raw total energy = -4.78 eV per atom
crystal system = hexagonal

---

(5)
Here is LiZn2Ag9 after structural relaxation from Alexandria. Energies are from GGA-PBE.

Structure (CIF):
```
data_LiZn2Ag9
_chemical_formula_sum 'Li1 Zn2 Ag9'
_space_group_name_H-M_alt 'P 4/m m m'
_space_group_IT_number 123
_space_group_name_Hall '-P 4 2'
_cell_length_a 4.117
_cell_length_b 4.117
_cell_length_c 12.094
_cell_angle_alpha 90.00
_cell_angle_beta 90.00
_cell_angle_gamma 90.00
loop_
_atom_site_label
_atom_site_fract_x
_atom_site_fract_y
_atom_site_fract_z
Li1 0.000 0.000 0.000
Zn1 0.000 0.000 0.334
Ag1 0.000 0.500 0.167
Ag2 0.000 0.500 0.500
Ag3 0.500 0.500 0.000
Ag4 0.500 0.500 0.334
```

Summary:
calculated formation energy = -52 meV/atom
total magnetic moment = 0.00 Bohr magnetons per cell
raw total energy = -2.56 eV per atom
crystal system = tetragonal

---

(6)
Here is NaTlHg6 after structural relaxation from Alexandria. Energies are from GGA-PBE.

Structure (CIF):
```
data_NaTlHg6
_chemical_formula_sum 'Na1 Tl1 Hg6'
_space_group_name_H-M_alt 'P 4/m m m'
_space_group_IT_number 123
_space_group_name_Hall '-P 4 2'
_cell_length_a 5.017
_cell_length_b 5.017
_cell_length_c 8.600
_cell_angle_alpha 90.00
_cell_angle_beta 90.00
_cell_angle_gamma 90.00
loop_
_atom_site_label
_atom_site_fract_x
_atom_site_fract_y
_atom_site_fract_z
Na1 0.000 0.000 0.000
Tl1 0.000 0.000 0.500
Hg1 0.000 0.500 0.246
Hg2 0.500 0.500 0.000
Hg3 0.500 0.500 0.500
```

Summary:
E above lowest polymorph = 7 kJ/mol of formula units
calculated formation energy = -100 meV/atom
total magnetic moment = 0.00 Bohr magnetons per cell
raw total energy = -0.79 eV per atom
crystal system = tetragonal

---

(7)
Here is Ta2IrRu after structural relaxation from Alexandria. Energies are from GGA-PBE.

Structure (CIF):
```
data_Ta2IrRu
_chemical_formula_sum 'Ta2 Ir1 Ru1'
_space_group_name_H-M_alt 'P 4 m m'
_space_group_IT_number 99
_cell_length_a 2.782
_cell_length_b 2.782
_cell_length_c 8.424
_cell_angle_alpha 90.00
_cell_angle_beta 90.00
_cell_angle_gamma 90.00
loop_
_space_group_symop_operation_xyz
'x,y,z'
'-y,x,z'
'-x,-y,z'
'y,-x,z'
'-x,y,z'
'y,x,z'
'x,-y,z'
'-y,-x,z'
loop_
_atom_site_label
_atom_site_fract_x
_atom_site_fract_y
_atom_site_fract_z
Ta1 0.000 0.000 0.000
Ta2 0.500 0.500 0.278
Ir1 0.000 0.000 0.529
Ru1 0.500 0.500 0.745
```

Summary:
calculated formation energy = -89 meV/atom
total magnetic moment = 0.00 Bohr magnetons per cell
raw total energy = -10.55 eV per atom
crystal system = tetragonal

---

(8)
Here is TbHfSc2 after structural relaxation from Alexandria. Energies are from GGA-PBE.

Structure (CIF):
```
data_TbHfSc2
_chemical_formula_sum 'Tb3 Hf3 Sc6'
_space_group_name_H-M_alt 'R 3 m'
_space_group_IT_number 160
_space_group_name_Hall 'R 3 -2"'
_cell_length_a 3.3120
_cell_length_b 3.3120
_cell_length_c 32.0363
_cell_angle_alpha 90.00
_cell_angle_beta 90.00
_cell_angle_gamma 120.00
loop_
_atom_site_label
_atom_site_fract_x
_atom_site_fract_y
_atom_site_fract_z
Tb1 0.0000 0.0000 0.0000
Hf1 0.0000 0.0000 0.1654
Sc1 0.0000 0.0000 0.5770
Sc2 0.0000 0.0000 0.7546
```

Summary:
E above lowest polymorph = 9 kJ/mol of formula units
calculated formation energy = 71 meV/atom
total magnetic moment = 0.00 Bohr magnetons per cell
raw total energy = -6.74 eV per atom
crystal system = trigonal

---

(9)
Here is GaSn3Ir after structural relaxation from Alexandria. Energies are from GGA-PBE.

Structure (CIF):
```
data_GaSn3Ir
_chemical_formula_sum 'Ga4 Sn12 Ir4'
_space_group_name_H-M_alt 'C 1 2/m 1'
_space_group_IT_number 12
_cell_length_a 10.416
_cell_length_b 8.535
_cell_length_c 6.501
_cell_angle_alpha 90.00
_cell_angle_beta 127.63
_cell_angle_gamma 90.00
loop_
_space_group_symop_operation_xyz
'x,y,z'
'-x,-y,-z'
'-x,y,-z'
'x,-y,z'
'x+1/2,y+1/2,z'
'-x+1/2,-y+1/2,-z'
'-x+1/2,y+1/2,-z'
'x+1/2,-y+1/2,z'
loop_
_atom_site_label
_atom_site_fract_x
_atom_site_fract_y
_atom_site_fract_z
Ga1 0.057 0.000 0.255
Sn1 0.064 0.500 0.326
Sn2 0.209 0.192 0.736
Ir1 0.244 0.000 0.120
```

Summary:
E above lowest polymorph = 0 kJ/mol of formula units
calculated formation energy = -172 meV/atom
total magnetic moment = 0.00 Bohr magnetons per cell
raw total energy = -4.95 eV per atom
crystal system = monoclinic

---

(10)
Here is Ho8TcAu2 after structural relaxation from Alexandria. Energies are from GGA-PBE.

Structure (CIF):
```
data_Ho8TcAu2
_chemical_formula_sum 'Ho16 Tc2 Au4'
_space_group_name_H-M_alt 'C 1 m 1'
_space_group_IT_number 8
_cell_length_a 8.229
_cell_length_b 13.785
_cell_length_c 5.689
_cell_angle_alpha 90.00
_cell_angle_beta 112.46
_cell_angle_gamma 90.00
loop_
_space_group_symop_operation_xyz
'x,y,z'
'x,-y,z'
'x+1/2,y+1/2,z'
'x+1/2,-y+1/2,z'
loop_
_atom_site_label
_atom_site_fract_x
_atom_site_fract_y
_atom_site_fract_z
Ho1 0.000 0.000 0.000
Ho2 0.070 0.384 0.792
Ho3 0.148 0.117 0.571
Ho4 0.222 0.500 0.383
Ho5 0.356 0.203 0.190
Tc1 0.361 0.000 0.295
Au1 0.364 0.299 0.696
```

Summary:
calculated formation energy = -252 meV/atom
total magnetic moment = 0.00 Bohr magnetons per cell
raw total energy = -5.12 eV per atom
crystal system = monoclinic

---

(11)
Here is NdUNbN3 after structural relaxation from Alexandria. Energies are from GGA-PBE.

Structure (CIF):
```
data_NdUNbN3
_chemical_formula_sum 'Nd2 U2 Nb2 N6'
_space_group_name_H-M_alt 'P 1 21/m 1'
_space_group_IT_number 11
_cell_length_a 7.255
_cell_length_b 3.303
_cell_length_c 8.263
_cell_angle_alpha 90.00
_cell_angle_beta 93.45
_cell_angle_gamma 90.00
loop_
_space_group_symop_operation_xyz
'x,y,z'
'-x,-y,-z'
'-x,y+1/2,-z'
'x,-y+1/2,z'
loop_
_atom_site_label
_atom_site_fract_x
_atom_site_fract_y
_atom_site_fract_z
Nd1 0.138 0.250 0.176
U1 0.368 0.750 0.844
Nb1 0.134 0.250 0.566
N1 0.147 0.250 0.849
N2 0.168 0.750 0.407
N3 0.409 0.750 0.105
```

Summary:
energy relative to the elements, uncorrected = -0.9906 eV per atom
total magnetic moment = 2.50 Bohr magnetons per cell
raw total energy = -9.51 eV per atom
crystal system = monoclinic

---

(12)
Here is CeInAg2 after structural relaxation from Alexandria. Energies are from GGA-PBE.

Structure (CIF):
```
data_CeInAg2
_chemical_formula_sum 'Ce1 In1 Ag2'
_space_group_name_H-M_alt 'P 4/m m m'
_space_group_IT_number 123
_space_group_name_Hall '-P 4 2'
_cell_length_a 3.417
_cell_length_b 3.417
_cell_length_c 7.800
_cell_angle_alpha 90.00
_cell_angle_beta 90.00
_cell_angle_gamma 90.00
loop_
_atom_site_label
_atom_site_fract_x
_atom_site_fract_y
_atom_site_fract_z
Ce1 0.000 0.000 0.000
In1 0.000 0.000 0.500
Ag1 0.500 0.500 0.275
```

Summary:
E above lowest polymorph = 75 kJ/mol of formula units
calculated formation energy = -70 meV/atom
total magnetic moment = 1.18 Bohr magnetons per cell
raw total energy = -3.66 eV per atom
crystal system = tetragonal

---

Question: The highest total magnetic moment belongs to which entry?
Answer: RuPb3Br

---

Question: Look up the total magnetic moment of the fifth one.
Answer: 0.00 Bohr magnetons per cell